4
Lattice="-2.182 2.182 4.729 2.182 -2.182 4.729 2.182 2.182 -4.729" Properties=species:S:1:pos:R:3 comment="Hg2PtPb, optimized geometry, DFT PBE" m_tot_mub_per_cell=0.00 ef_ev_per_atom=0.15 pbc="T T T"
Hg 2.182 0.000 2.365
Hg 0.000 2.182 2.365
Pt 0.000 0.000 0.000
Pb 0.000 0.000 4.729

9
Lattice="4.379 0.000 0.000 0.000 4.379 0.000 0.000 0.000 7.011" Properties=species:S:1:pos:R:3 comment="YBe2CuPd5, optimized geometry, DFT PBE" m_tot_mub_per_cell=0.00 ef_ev_per_atom=-0.47 pbc="T T T"
Y 0.000 0.000 0.000
Be 2.190 2.190 2.385
Be 2.190 2.190 4.626
Cu 0.000 0.000 3.505
Pd 0.000 2.190 2.005
Pd 0.000 2.190 5.006
Pd 2.190 0.000 2.005
Pd 2.190 0.000 5.006
Pd 2.190 2.190 0.000

5
Lattice="4.122 0.000 0.000 0.000 4.122 0.000 0.000 0.000 5.270" Properties=species:S:1:pos:R:3 comment="YScSeN2, optimized geometry, DFT PBE" raw_formation_energy_ev_per_atom=-0.4341 m_tot_mub_per_cell=0.37 de_polymorph_ev_per_atom=0.0000 pbc="T T T"
Y 0.000 0.000 0.000
Sc 2.061 2.061 2.635
Se 2.061 2.061 0.000
N 0.000 2.061 2.635
N 2.061 0.000 2.635

14
Lattice="6.606 0.000 0.000 0.000 9.192 0.000 0.000 0.000 3.014" Properties=species:S:1:pos:R:3 comment="V4Ge2C, optimized geometry, DFT PBE" m_tot_mub_per_cell=0.00 ef_ev_per_atom=-0.42 de_polymorph_ev_per_atom=0.0000 pbc="T T T"
V 0.908 1.804 0.000
V 1.168 8.477 1.507
V 2.136 3.881 1.507
V 2.395 6.400 0.000
V 4.211 2.792 0.000
V 4.471 5.311 1.507
V 5.439 0.715 1.507
V 5.698 7.388 0.000
Ge 0.428 5.862 1.507
Ge 2.875 1.266 1.507
Ge 3.731 7.926 1.507
Ge 6.178 3.330 1.507
C 0.000 0.000 0.000
C 3.303 4.596 0.000

no.,D(E_F) (states/eV/f.u.)
1,2.54
2,2.45
3,2.37
4,4.48